First-principles (PBE) data for an optimized crystal structure of PmInBr4, as listed in the Alexandria database.

```
12
Lattice="8.609 0.000 -4.379 -2.086 7.340 -4.100 -0.639 -0.044 9.396" Properties=species:S:1:pos:R:3 pbc="T T T"
Br 1.367 1.778 7.062
Br 4.518 5.518 -6.145
Br 0.982 5.518 -4.346
Br 4.903 1.778 5.263
Br 5.392 1.508 -0.052
Br 4.351 5.170 -2.098
Br 0.493 5.787 0.969
Br 1.533 2.125 3.015
Pm 4.305 0.000 -2.190
Pm 3.262 3.670 -4.240
In 3.985 -0.022 2.509
In -0.319 -0.022 4.698
```

Summary:
Its mass density is 3.369 g/cm³. The total energy comes out at -45.85 eV for the cell shown. As for the raw formation energy: -1457 meV/atom.